<a>
First-principles (GGA-PBE) data for a relaxed structure of GaOs3Cl, as listed in Alexandria via LeMat-Bulk.

a b c (Å): 4.3715 4.3715 4.3715
angles (deg): 90.00 90.00 90.00
With the nearest neighbours (Å) after each atom.
Sites, in units of the cell vectors:
1 Ga 0.0000 0.0000 0.0000  12 Os 3.09
2 Os 0.0000 0.5000 0.5000  2 Cl 2.19
3 Os 0.5000 0.0000 0.5000  2 Cl 2.19
4 Os 0.5000 0.5000 0.0000  2 Cl 2.19
5 Cl 0.5000 0.5000 0.5000  6 Os 2.19

=====

<b>
First-principles (GGA-PBE) data for a relaxed structure of GaOs3Cl, as listed in Alexandria via LeMat-Bulk.

a b c (Å): 4.6495 4.6495 4.6495
angles (deg): 90.00 90.00 90.00
With the nearest neighbours (Å) after each atom.
Sites, in units of the cell vectors:
1 Ga 0.0000 0.0000 0.0000  6 Os 2.32
2 Os 0.0000 0.0000 0.5000  2 Ga 2.32
3 Os 0.0000 0.5000 0.0000  2 Ga 2.32
4 Os 0.5000 0.0000 0.0000  2 Ga 2.32
5 Cl 0.5000 0.5000 0.5000  12 Os 3.29

=====

Most stable of them? <a>.

=====

<a>
First-principles (GGA-PBE) data for a relaxed structure of Ga2OsCl, as listed in Alexandria via LeMat-Bulk.

a b c (Å): 4.6142 4.6142 4.6142
angles (deg): 60.00 60.00 60.00
With the nearest neighbours (Å) after each atom.
Sites, in units of the cell vectors:
1 Ga 0.2500 0.2500 0.2500  4 Cl 2.83, 4 Os 2.83
2 Ga 0.7500 0.7500 0.7500  4 Cl 2.83, 4 Os 2.83
3 Os 0.0000 0.0000 0.0000  8 Ga 2.83
4 Cl 0.5000 0.5000 0.5000  8 Ga 2.83

=====

<b>
First-principles (GGA-PBE) data for a relaxed structure of Ga2OsCl, as listed in Alexandria via LeMat-Bulk.

a b c (Å): 7.1995 7.1995 7.1995
angles (deg): 131.36 131.36 71.24
With the nearest neighbours (Å) after each atom.
Sites, in units of the cell vectors:
1 Ga 0.0743 0.6250 0.9493  2 Os 2.39
2 Ga 0.3750 0.3243 0.4493  2 Os 2.39
3 Ga 0.6757 0.1250 0.0507  2 Os 2.39
4 Ga 0.8750 0.9257 0.5507  2 Os 2.39
5 Os 0.0000 0.0000 0.0000  4 Ga 2.39
6 Os 0.7500 0.2500 0.5000  4 Ga 2.39
7 Cl 0.2500 0.7500 0.5000  4 Ga 2.74
8 Cl 0.5000 0.5000 0.0000  4 Ga 2.74

=====

Most stable of them? <b>.

=====

<a>
First-principles (GGA-PBE) data for a relaxed structure of GaP2OsCl, as listed in Alexandria via LeMat-Bulk.

a b c (Å): 4.5050 4.5050 5.5737
angles (deg): 90.00 90.00 90.00
With the nearest neighbours (Å) after each atom.
Sites, in units of the cell vectors:
1 Ga 0.0000 0.0000 0.0000  4 Cl 3.19
2 P 0.0000 0.5000 0.5000  2 Os 2.25
3 P 0.5000 0.0000 0.5000  2 Os 2.25
4 Os 0.5000 0.5000 0.5000  4 P 2.25
5 Cl 0.5000 0.5000 0.0000  2 Os 2.79

=====

<b>
First-principles (GGA-PBE) data for a relaxed structure of GaP2OsCl, as listed in Alexandria via LeMat-Bulk.

a b c (Å): 4.6823 4.6823 4.5499
angles (deg): 90.00 90.00 90.00
With the nearest neighbours (Å) after each atom.
Sites, in units of the cell vectors:
1 Ga 0.0000 0.0000 0.0000  2 Cl 2.27, 4 P 2.34
2 P 0.0000 0.5000 0.0000  2 Ga 2.34
3 P 0.5000 0.0000 0.0000  2 Ga 2.34
4 Os 0.5000 0.5000 0.5000  8 P 3.26, 4 Cl 3.31
5 Cl 0.0000 0.0000 0.5000  2 Ga 2.27

=====

Most stable of them? <a>.

=====

<a>
First-principles (GGA-PBE) data for a relaxed structure of GaOsS2Cl, as listed in Alexandria via LeMat-Bulk.

a b c (Å): 4.5638 4.5638 5.2213
angles (deg): 90.00 90.00 90.00
With the nearest neighbours (Å) after each atom.
Sites, in units of the cell vectors:
1 Ga 0.0000 0.0000 0.0000  4 Cl 3.23, 8 S 3.47
2 Os 0.5000 0.5000 0.5000  4 S 2.28
3 S 0.0000 0.5000 0.5000  2 Os 2.28
4 S 0.5000 0.0000 0.5000  2 Os 2.28
5 Cl 0.5000 0.5000 0.0000  2 Os 2.61

=====

<b>
First-principles (GGA-PBE) data for a relaxed structure of GaOsS2Cl, as listed in Alexandria via LeMat-Bulk.

a b c (Å): 4.7335 4.7335 4.6111
angles (deg): 90.00 90.00 90.00
With the nearest neighbours (Å) after each atom.
Sites, in units of the cell vectors:
1 Ga 0.0000 0.0000 0.0000  2 Cl 2.31, 4 S 2.37
2 Os 0.5000 0.5000 0.5000  8 S 3.30, 4 Cl 3.35
3 S 0.0000 0.5000 0.0000  2 Ga 2.37
4 S 0.5000 0.0000 0.0000  2 Ga 2.37
5 Cl 0.0000 0.0000 0.5000  2 Ga 2.31

=====

Most stable of them? <a>.